# VReW3, relaxed, DFT PBE
# Distance to the lowest polymorph of the same formula, eV/atom: 0.480
# Formation energy, meV per atom: 418
# Calculated volume, Å³ per atom: 16.037
# Total DFT energy (no corrections), eV for the cell shown: -466.7
data_VReW3
_symmetry_space_group_name_H-M 'C 1 2/c 1'
_symmetry_Int_Tables_number 15
_symmetry_space_group_name_Hall '-C 2yc'
_cell_length_a 11.3827
_cell_length_b 13.0703
_cell_length_c 4.4429
_cell_angle_alpha 90.00
_cell_angle_beta 103.96
_cell_angle_gamma 90.00
loop_
_atom_site_label
_atom_site_fract_x
_atom_site_fract_y
_atom_site_fract_z
V1 0.0000 0.0512 0.2500
V2 0.0000 0.1613 0.7500
Re1 0.1044 0.4344 0.4445
W1 0.1268 0.3138 0.9326
W2 0.1637 0.1844 0.4051
W3 0.1948 0.0589 0.9080

***

# V4Re3W2, relaxed, DFT PBE
# Distance to the lowest polymorph of the same formula, eV/atom: 0.301
# Formation energy, meV per atom: 58
# Calculated volume, Å³ per atom: 14.876
# Total DFT energy (no corrections), eV for the cell shown: -396.8
data_V4Re3W2
_symmetry_space_group_name_H-M 'C 1 2/c 1'
_symmetry_Int_Tables_number 15
_symmetry_space_group_name_Hall '-C 2yc'
_cell_length_a 11.5959
_cell_length_b 9.7046
_cell_length_c 4.7591
_cell_angle_alpha 90.00
_cell_angle_beta 90.13
_cell_angle_gamma 90.00
loop_
_atom_site_label
_atom_site_fract_x
_atom_site_fract_y
_atom_site_fract_z
V1 0.0652 0.2384 0.0004
V2 0.1593 0.3238 0.5015
Re1 0.0000 0.5001 0.2500
Re2 0.0953 0.0750 0.4989
W1 0.2326 0.4073 0.0018

***

# VReW, relaxed, DFT PBE
# Distance to the lowest polymorph of the same formula, eV/atom: 0.035
# Formation energy, meV per atom: -161
# Calculated volume, Å³ per atom: 14.882
# Total DFT energy (no corrections), eV for the cell shown: -140.0
data_VReW
_symmetry_space_group_name_H-M 'C 1 2/m 1'
_symmetry_Int_Tables_number 12
_symmetry_space_group_name_Hall '-C 2y'
_cell_length_a 9.2487
_cell_length_b 4.4151
_cell_length_c 5.3518
_cell_angle_alpha 90.00
_cell_angle_beta 125.19
_cell_angle_gamma 90.00
loop_
_atom_site_label
_atom_site_fract_x
_atom_site_fract_y
_atom_site_fract_z
V1 0.1669 0.0000 0.3341
Re1 0.1642 0.0000 0.8316
W1 0.0000 0.5000 0.0000
W2 0.0000 0.5000 0.5000

***

# V4ReW4, relaxed, DFT PBE
# Formation energy, meV per atom: 456
# Calculated volume, Å³ per atom: 15.463
# Total DFT energy (no corrections), eV for the cell shown: -193.3
data_V4ReW4
_symmetry_space_group_name_H-M 'P 42/n'
_symmetry_Int_Tables_number 86
_cell_length_a 7.5223
_cell_length_b 7.5223
_cell_length_c 4.9190
_cell_angle_alpha 90.00
_cell_angle_beta 90.00
_cell_angle_gamma 90.00
loop_
_symmetry_equiv_pos_as_xyz
'x,y,z'
'-x,-y,-z'
'-y,x+1/2,z+1/2'
'y,-x+1/2,-z+1/2'
'-x+1/2,-y+1/2,z'
'x+1/2,y+1/2,-z'
'y+1/2,-x,z+1/2'
'-y+1/2,x,-z+1/2'
loop_
_atom_site_label
_atom_site_fract_x
_atom_site_fract_y
_atom_site_fract_z
V1 0.0655 0.1383 0.1415
Re1 0.2500 0.2500 0.7500
W1 0.0895 0.8161 0.3748